A plane-wave DFT calculation with PBE was carried out for a geometry-optimized LaSm5DyY2 structure.

Cell: 5.7171 20.1358 10.6610 Å, 90.00 90.00 90.00°
Last column: nearest neighbours and their distance in Å.
Space group Cmc2_1 (No. 36)
Asymmetric unit:
La  0.0000  0.0831  0.0000 (multiplicity 4)  5 Sm 3.07-3.32
Sm  0.0000  0.0198  0.2874 (multiplicity 4)  2 La 3.07-3.32
Sm  0.0000  0.1128  0.5710 (multiplicity 4)  6 Sm 3.53-3.89, 4 Y 3.58-3.62, 1 Dy 3.75
Sm  0.0000  0.2033  0.2536 (multiplicity 4)  4 Sm 3.46-3.84, 3 Dy 3.54-3.77, 3 Y 3.58-3.72, 1 La 3.63
Sm  0.0000  0.2184  0.8607 (multiplicity 4)  1 La 3.10, 1 Y 3.35, 2 Sm 3.46
Sm  0.0000  0.4816  0.5720 (multiplicity 4)  2 La 3.23, 2 Y 3.44-3.46
Dy  0.0000  0.2986  0.5582 (multiplicity 4)  2 Y 3.47-3.74, 8 Sm 3.54-3.77, 2 La 3.77
Y  0.0000  0.3849  0.8684 (multiplicity 4)  9 Sm 3.35-3.71, 1 Dy 3.74
Y  0.0000  0.3874  0.2797 (multiplicity 4)  7 Sm 3.44-3.72, 1 Dy 3.47, 2 La 3.75

Properties
volume = 34.091 A^3/atom
crystal system = orthorhombic
N(E_F) = 1.635 states/eV/atom
total magnetization = 0.000 μB/atom
E_tot = -4.97 eV per atom

A plane-wave DFT calculation with PBE was carried out for a geometry-optimized TbGdBeAl structure.

Cell: 7.0993 7.0993 7.0993 Å, 90.00 90.00 90.00°
Last column: nearest neighbours and their distance in Å.
Space group F-43m (No. 216)
Asymmetric unit:
Tb  0.0000  0.0000  0.0000 (multiplicity 4)  4 Be 3.07, 4 Al 3.07
Gd  0.0000  0.0000  0.5000 (multiplicity 4)  4 Be 3.07, 4 Al 3.07
Be  0.2500  0.2500  0.7500 (multiplicity 4)  4 Gd 3.07, 4 Tb 3.07
Al  0.2500  0.2500  0.2500 (multiplicity 4)  4 Gd 3.07, 4 Tb 3.07

Properties
volume = 22.363 A^3/atom
crystal system = cubic
N(E_F) = 1.082 states/eV/atom
total magnetization = 1.847 μB/atom
E_tot = -6.66 eV per atom

A plane-wave DFT calculation with PBE was carried out for a geometry-optimized Rb4Tb3TmTe8 structure.

Cell: 9.0537 9.0537 25.6617 Å, 90.00 90.00 120.00°
Last column: nearest neighbours and their distance in Å.
Space group R-3m (No. 166, hexagonal axes)
Asymmetric unit:
Rb  0.0000  0.0000  0.0000 (multiplicity 3)  6 Te 3.69
Rb  0.0000  0.5000  0.0000 (multiplicity 9)  6 Te 3.66
Tb  0.0000  0.5000  0.5000 (multiplicity 9)  6 Te 3.13
Tm  0.0000  0.0000  0.5000 (multiplicity 3)  6 Te 3.10
Te  0.0000  0.0000  0.2335 (multiplicity 6)  3 Tb 3.13
Te  0.0035  0.5017  0.2329 (multiplicity 18)  1 Tm 3.10, 2 Tb 3.13

Properties
volume = 37.952 A^3/atom
crystal system = trigonal
total magnetization = 0.000 μB/atom
E_tot = -4.34 eV per atom
formation energy without anion corrections = -22.1 eV/f.u.

A plane-wave DFT calculation with PBE was carried out for a geometry-optimized Tb3Dy2Ho7 structure.

Cell: 5.7506 3.5396 18.5433 Å, 90.00 93.36 90.00°
Last column: nearest neighbours and their distance in Å.
Space group P2/m (No. 10)
Asymmetric unit:
Tb  0.0000  0.0000  0.0000 (multiplicity 1)  8 Ho 3.32-3.38, 2 Tb 3.54
Tb  0.2781  0.5000  0.6326 (multiplicity 2)  2 Tb 3.54, 8 Ho 3.61-3.94, 4 Dy 3.64-3.65
Dy  0.2092  0.0000  0.2938 (multiplicity 2)  3 Ho 3.13-3.30
Ho  0.1859  0.5000  0.1433 (multiplicity 2)  7 Ho 3.30-3.54, 2 Dy 3.30, 2 Tb 3.32
Ho  0.2425  0.0000  0.4628 (multiplicity 2)  1 Dy 3.13, 2 Ho 3.18-3.19
Ho  0.3116  0.0000  0.8226 (multiplicity 2)  6 Ho 3.42-3.54, 2 Dy 3.59-3.60
Ho  0.5000  0.5000  0.0000 (multiplicity 1)  4 Ho 3.30-3.54, 4 Tb 3.38

Properties
volume = 31.399 A^3/atom
crystal system = monoclinic
N(E_F) = 1.247 states/eV/atom
total magnetization = 0.000 μB/atom
E_tot = -4.51 eV per atom
ΔE to the lowest computed polymorph = 0.000 eV/atom

A plane-wave DFT calculation with PBE was carried out for a geometry-optimized Tb3HoGa structure.

Cell: 11.8370 8.9319 7.6955 Å, 90.00 130.14 90.00°
Last column: nearest neighbours and their distance in Å.
Space group C2/m (No. 12)
Asymmetric unit:
Tb  0.0554  0.0000  0.3313 (multiplicity 4)  1 Ga 2.90
Tb  0.2207  0.3085  0.7549 (multiplicity 8)  2 Ga 2.87-3.11
Ho  0.0656  0.5000  0.2681 (multiplicity 4)  2 Ga 2.87-3.02
Ga  0.2450  0.5000  0.1157 (multiplicity 4)  5 Tb 2.87-3.11, 2 Ho 2.87-3.02

Properties
volume = 31.100 A^3/atom
crystal system = monoclinic
N(E_F) = 1.385 states/eV/atom
total magnetization = 0.000 μB/atom
E_tot = -4.37 eV per atom

A plane-wave DFT calculation with PBE was carried out for a geometry-optimized KTcRu2 structure.

Cell: 7.3202 7.3202 6.1543 Å, 90.00 90.00 90.00°
Last column: nearest neighbours and their distance in Å.
Space group I-42d (No. 122)
Asymmetric unit:
K  0.0000  0.0000  0.0000 (multiplicity 4)  8 Ru 3.07-3.23, 2 Tc 3.08
Tc  0.0000  0.0000  0.5000 (multiplicity 4)  4 Ru 2.38
Ru  0.1805  0.2500  0.6250 (multiplicity 8)  2 Tc 2.38

Properties
volume = 20.611 A^3/atom
crystal system = tetragonal
N(E_F) = 0.436 states/eV/atom
total magnetization = 0.000 μB/atom
E_tot = -6.24 eV per atom
ΔE to the lowest computed polymorph = 0.613 eV/atom

A plane-wave DFT calculation with PBE was carried out for a geometry-optimized SrAg2Rh structure.

Cell: 3.6088 3.6088 6.6172 Å, 90.00 90.00 90.00°
Last column: nearest neighbours and their distance in Å.
Space group P4/mmm (No. 123)
Asymmetric unit:
Sr  0.0000  0.0000  0.0000 (multiplicity 1)  8 Ag 3.22, 2 Rh 3.31
Ag  0.5000  0.5000  0.2969 (multiplicity 2)  1 Ag 2.69, 4 Rh 2.88
Rh  0.0000  0.0000  0.5000 (multiplicity 1)  8 Ag 2.88

Properties
volume = 21.545 A^3/atom
crystal system = tetragonal
N(E_F) = 0.551 states/eV/atom
total magnetization = 0.000 μB/atom
E_tot = -3.58 eV per atom
ΔE to the lowest computed polymorph = 0.185 eV/atom

A plane-wave DFT calculation with PBE was carried out for a geometry-optimized ScTaBe2 structure.

Cell: 3.0236 4.1851 9.0427 Å, 90.00 90.00 90.00°
Last column: nearest neighbours and their distance in Å.
Space group Imm2 (No. 44)
Asymmetric unit:
Sc  0.0000  0.0000  0.0000 (multiplicity 2)  6 Be 2.64-2.85, 4 Ta 2.90-2.92
Ta  0.0000  0.5000  0.2259 (multiplicity 2)  6 Be 2.61-2.83, 2 Sc 2.90
Be  0.0000  0.0000  0.4366 (multiplicity 2)  2 Be 2.15
Be  0.0000  0.5000  0.7668 (multiplicity 2)  2 Be 2.15

Properties
volume = 14.303 A^3/atom
crystal system = orthorhombic
N(E_F) = 0.655 states/eV/atom
total magnetization = 0.000 μB/atom
E_tot = -6.34 eV per atom
ΔE to the lowest computed polymorph = 0.074 eV/atom

- E_tot of number 3 (Rb4Tb3TmTe8)?
  -4.34 eV per atom